First-principles (PBE with a Hubbard U) data for a geometry-optimized VNiO2 structure, as listed in Alexandria.

Unit cell a=3.7148 b=3.7148 c=3.7148 alpha=60.00 beta=60.00 gamma=60.00
Closest atoms and distances in Å follow each position.
Fractional coordinates of all 4 atoms:
1 V 0.0000 0.0000 0.0000  8 O 2.27
2 Ni 0.5000 0.5000 0.5000  8 O 2.27
3 O 0.2500 0.2500 0.2500  4 Ni 2.27, 4 V 2.27
4 O 0.7500 0.7500 0.7500  4 V 2.27, 4 Ni 2.27

Results
Space-group type ... Fm-3m, No. 225
Energy above the most stable polymorph in this dataset ... 894 meV per atom
Electronic total energy ... -5.4287 eV/atom
Magnetization ... 2.983 μB per cell